Ir2RuSe: optimized geometry, PBE.

Lattice parameters (Å, degrees): 4.6861 4.6861 2.7850 90.00 90.00 90.00
Fractional positions:
1 Ir 0.0000 0.5000 0.0000
2 Ir 0.5000 0.0000 0.0000
3 Ru 0.0000 0.0000 0.5000
4 Se 0.5000 0.5000 0.5000

V ... 15.3 Å³ per atom
Crystal system ... tetragonal
Density of states at the Fermi level ... 6.07 states/eV per cell
Formation energy without anion corrections ... 566 meV/atom

***

CrW: optimized geometry, PBE.

Lattice parameters (Å, degrees): 3.8856 3.8856 3.8856 60.00 60.00 60.00
Fractional positions:
1 Cr 0.0000 0.0000 0.0000
2 W 0.2500 0.2500 0.2500

V ... 20.7 Å³ per atom
Crystal system ... cubic
Density of states at the Fermi level ... 3.47 states/eV per cell
Calculated formation energy ... 2.4406 eV/atom

***

Mn2AsSe: optimized geometry, PBE.

Lattice parameters (Å, degrees): 6.5854 6.5854 6.5854 32.20 32.20 32.20
Fractional positions:
1 Mn 0.0000 0.0000 0.0000
2 Mn 0.1737 0.1737 0.1737
3 As 0.5892 0.5892 0.5892
4 Se 0.4169 0.4169 0.4169

V ... 18.0 Å³ per atom
Crystal system ... trigonal
Density of states at the Fermi level ... 2.60 states/eV per cell
Formation energy without anion corrections ... -146 meV/atom

***

Mg2InC: optimized geometry, PBE.

Lattice parameters (Å, degrees): 4.6584 4.6584 4.6584 60.00 60.00 60.00
Fractional positions:
1 Mg 0.2500 0.2500 0.2500
2 Mg 0.7500 0.7500 0.7500
3 In 0.0000 0.0000 0.0000
4 C 0.5000 0.5000 0.5000

V ... 17.9 Å³ per atom
Crystal system ... cubic
Density of states at the Fermi level ... 1.42 states/eV per cell
Calculated formation energy ... 0.9737 eV/atom

***

LaTbSm2S4: optimized geometry, PBE.

Lattice parameters (Å, degrees): 6.9701 3.9967 7.0181 90.00 109.14 90.00
Fractional positions:
1 La 0.0000 0.0000 0.0000
2 Tb 0.0000 0.5000 0.5000
3 Sm 0.5000 0.0000 0.5000
4 Sm 0.5000 0.5000 0.0000
5 S 0.2476 0.0000 0.7412
6 S 0.2541 0.5000 0.2598
7 S 0.7459 0.5000 0.7402
8 S 0.7524 0.0000 0.2588

V ... 23.1 Å³ per atom
Crystal system ... monoclinic
Density of states at the Fermi level ... 4.96 states/eV per cell
Formation energy without anion corrections ... -2048 meV/atom

***

Ca2HgAu3: optimized geometry, PBE.

Lattice parameters (Å, degrees): 7.8621 4.0189 17.9376 90.00 90.00 90.00
Fractional positions:
1 Ca 0.0809 0.2500 0.2138
2 Ca 0.1620 0.2500 0.4336
3 Ca 0.3380 0.7500 0.9336
4 Ca 0.4191 0.7500 0.7138
5 Ca 0.5809 0.2500 0.2862
6 Ca 0.6620 0.2500 0.0664
7 Ca 0.8380 0.7500 0.5664
8 Ca 0.9191 0.7500 0.7862
9 Hg 0.0072 0.7500 0.0668
10 Hg 0.4928 0.2500 0.5668
11 Hg 0.5072 0.7500 0.4332
12 Hg 0.9928 0.2500 0.9332
13 Au 0.0829 0.2500 0.6618
14 Au 0.2212 0.7500 0.5607
15 Au 0.2226 0.2500 0.8094
16 Au 0.2774 0.7500 0.3094
17 Au 0.2788 0.2500 0.0607
18 Au 0.4171 0.7500 0.1618
19 Au 0.5829 0.2500 0.8382
20 Au 0.7212 0.7500 0.9393
21 Au 0.7226 0.2500 0.6906
22 Au 0.7774 0.7500 0.1906
23 Au 0.7788 0.2500 0.4393
24 Au 0.9171 0.7500 0.3382

V ... 23.6 Å³ per atom
Crystal system ... orthorhombic
Density of states at the Fermi level ... 6.71 states/eV per cell
Calculated formation energy ... -0.6548 eV/atom

***

TeBrCl2: optimized geometry, PBE.

Lattice parameters (Å, degrees): 5.2469 5.2469 5.2469 125.34 125.34 80.98
Fractional positions:
1 Te 0.0000 0.0000 0.0000
2 Br 0.2500 0.7500 0.5000
3 Cl 0.5000 0.5000 0.0000
4 Cl 0.7500 0.2500 0.5000

V ... 23.2 Å³ per atom
Crystal system ... tetragonal
Density of states at the Fermi level ... 3.25 states/eV per cell
Formation energy without anion corrections ... 259 meV/atom

***

ZrTi3Cl: optimized geometry, PBE.

Lattice parameters (Å, degrees): 4.5270 4.5270 4.5270 90.00 90.00 90.00
Fractional positions:
1 Zr 0.0000 0.0000 0.0000
2 Ti 0.0000 0.5000 0.5000
3 Ti 0.5000 0.0000 0.5000
4 Ti 0.5000 0.5000 0.0000
5 Cl 0.5000 0.5000 0.5000

V ... 18.6 Å³ per atom
Crystal system ... cubic
Density of states at the Fermi level ... 4.42 states/eV per cell
Formation energy without anion corrections ... -86 meV/atom